# 1
VASP calculation (PBE) on CeZrSe2 after structural relaxation.

Geometry as POSCAR:
```
CeZrSe2
1.0
-2.164 1.218 -3.051
-3.197 -2.024 -1.077
-5.705 3.616 2.954
Se Ce Zr
2 1 1
Direct
0.258 0.258 0.225
0.076 0.076 0.773
0.495 0.495 0.516
0.672 0.672 0.985
```

Values from the calculation:
- symmetry = R3m (160)
- energy (eV/atom) = -6.779
- E above lowest polymorph (kJ/mol of formula units) = 0
- raw formation energy (eV/atom) = -1.416

# 2
VASP calculation (PBE) on Ce6ZrSe12 after structural relaxation.

Geometry as POSCAR:
```
Ce6ZrSe12
1.0
8.272 -0.446 -0.931
-0.991 8.225 -0.931
-0.417 -0.446 8.314
Se Ce Zr
12 6 1
Direct
0.420 0.569 0.822
0.032 0.933 0.681
0.067 0.319 0.968
0.580 0.431 0.178
0.178 0.580 0.431
0.822 0.420 0.569
0.933 0.681 0.032
0.569 0.822 0.420
0.681 0.032 0.933
0.319 0.968 0.067
0.968 0.067 0.319
0.431 0.178 0.580
0.630 0.135 0.304
0.304 0.630 0.135
0.370 0.865 0.696
0.696 0.370 0.865
0.135 0.304 0.630
0.865 0.696 0.370
0.000 0.000 0.000
```

Values from the calculation:
- symmetry = R-3 (148)
- energy (eV/atom) = -6.204
- raw formation energy (eV/atom) = -1.679

# 3
VASP calculation (PBE) on Ce3ZrSe6 after structural relaxation.

Geometry as POSCAR:
```
Ce3ZrSe6
1.0
-8.118 -1.271 -1.493
1.464 -6.741 4.709
-0.733 5.645 6.112
Se Ce Zr
12 6 2
Direct
0.970 0.318 0.067
0.933 0.030 0.682
0.433 0.812 0.573
0.427 0.567 0.188
0.188 0.427 0.567
0.067 0.970 0.318
0.318 0.067 0.970
0.030 0.682 0.933
0.573 0.433 0.812
0.812 0.573 0.433
0.682 0.933 0.030
0.567 0.188 0.427
0.370 0.702 0.878
0.878 0.370 0.702
0.298 0.122 0.630
0.702 0.878 0.370
0.122 0.630 0.298
0.630 0.298 0.122
0.500 0.500 0.500
0.000 0.000 0.000
```

Values from the calculation:
- symmetry = R-3 (148)
- energy (eV/atom) = -6.379
- E above lowest polymorph (kJ/mol of formula units) = 0
- raw formation energy (eV/atom) = -1.653

# 4
VASP calculation (PBE) on CeZrSe2 after structural relaxation.

Geometry as POSCAR:
```
CeZrSe2
1.0
-1.047 -2.171 -2.864
2.273 -0.444 -2.941
4.274 -8.118 2.146
Ce Zr Se
1 1 2
Direct
0.000 0.000 0.000
0.500 0.500 0.500
0.894 0.894 0.319
0.106 0.106 0.681
```

Values from the calculation:
- symmetry = R-3m (166)
- energy (eV/atom) = -6.351
- E above lowest polymorph (kJ/mol of formula units) = 165
- raw formation energy (eV/atom) = -0.989

# 5
VASP calculation (PBE) on Ce5Si3 after structural relaxation.

Geometry as POSCAR:
```
Ce5Si3
1.0
-2.823 0.519 8.295
-0.493 -7.616 -4.335
5.570 -1.493 1.990
Si Ce
6 10
Direct
0.621 0.000 0.750
0.379 0.379 0.750
0.379 0.000 0.250
0.000 0.379 0.250
0.000 0.621 0.750
0.621 0.621 0.250
0.731 0.731 0.750
0.269 0.000 0.750
0.333 0.667 0.000
0.000 0.731 0.250
0.667 0.333 0.500
0.333 0.667 0.500
0.000 0.269 0.750
0.269 0.269 0.250
0.667 0.333 0.000
0.731 0.000 0.250
```

Values from the calculation:
- symmetry = P6_3/mcm (193)
- energy (eV/atom) = -6.233
- E above lowest polymorph (kJ/mol of formula units) = 47
- raw formation energy (eV/atom) = -0.491

# 6
VASP calculation (PBE) on CeSi after structural relaxation.

Geometry as POSCAR:
```
CeSi
1.0
3.882 0.000 0.000
0.000 5.839 0.000
0.000 0.000 8.172
Ce Si
4 4
Direct
0.750 0.615 0.319
0.250 0.115 0.181
0.750 0.885 0.819
0.250 0.385 0.681
0.750 0.378 0.966
0.250 0.622 0.034
0.250 0.878 0.534
0.750 0.122 0.466
```

Values from the calculation:
- symmetry = Pnma (62)
- energy (eV/atom) = -6.333
- raw formation energy (eV/atom) = -0.655

Which formula does entry 6 have?
CeSi